Here is a relaxed structure of La4NdTh from the Alexandria database. Energies are from PBE.

Values from the calculation:
energy of formation from the pure elements = 0.184 eV per atom
electronic total energy = -5.1318 eV per atom
symmetry = No. 63
total magnetic moment = 0.00 μB/f.u.

Structure (POSCAR):
```
La4NdTh
1.0
-2.901 -3.799 -4.646
5.875 -1.904 2.508
-5.192 -5.658 7.869
La Nd Th
8 2 2
Direct
0.665 0.335 0.936
0.335 0.665 0.436
0.335 0.665 0.064
0.665 0.335 0.564
0.354 0.166 0.250
0.646 0.834 0.750
0.166 0.354 0.750
0.834 0.646 0.250
0.166 0.834 0.750
0.834 0.166 0.250
0.000 0.000 0.000
0.000 0.000 0.500
```